(1)
Here is a relaxed Hf2ZrTl crystal from Alexandria via LeMat-Bulk. Energies are from PBE.

Properties
Its total DFT energy (no corrections) is -0.56278 Ry/atom. The energy above the most stable polymorph in this dataset is 71.2 meV per atom.

a b c (Å): 3.266 3.266 10.264
angles (deg): 80.84 80.84 60.00
Positions (direct):
Tl1 0.000 0.000 0.000
Hf1 0.249 0.249 0.254
Hf2 0.751 0.751 0.746
Zr1 0.500 0.500 0.500

(2)
Here is a relaxed ZrMn2Fe2 crystal from Alexandria via LeMat-Bulk. Energies are from PBE.

Properties
Its total DFT energy (no corrections) is -0.63414 Ry/atom. The energy above the most stable polymorph in this dataset is 109.2 meV per atom.

a b c (Å): 7.073 7.073 2.562
angles (deg): 90.00 90.00 90.00
Positions (direct):
Mn1 0.382 0.882 0.000
Mn2 0.882 0.618 0.000
Mn3 0.618 0.118 0.000
Mn4 0.118 0.382 0.000
Fe1 0.171 0.671 0.500
Fe2 0.671 0.829 0.500
Fe3 0.829 0.329 0.500
Fe4 0.329 0.171 0.500
Zr1 0.000 0.000 0.000
Zr2 0.500 0.500 0.000

(3)
Here is a relaxed TlSbRu2 crystal from Alexandria via LeMat-Bulk. Energies are from PBE.

Properties
Its total DFT energy (no corrections) is -0.43354 Ry/atom. Its uncorrected formation energy is 362 meV/atom.

a b c (Å): 5.275 5.275 4.596
angles (deg): 77.65 77.65 35.48
Positions (direct):
Ru1 0.991 0.991 0.080
Ru2 0.765 0.765 0.664
Sb1 0.493 0.493 0.585
Tl1 0.250 0.250 0.171

(4)
Here is a relaxed NaGa2Cl crystal from Alexandria via LeMat-Bulk. Energies are from PBE.

Properties
Its total DFT energy (no corrections) is -0.18875 Ry/atom. Its uncorrected formation energy is -263 meV/atom. The energy above the most stable polymorph in this dataset is 0.0 meV per atom.

a b c (Å): 8.675 8.675 6.719
angles (deg): 49.80 49.80 90.00
Positions (direct):
Na1 0.500 0.500 0.000
Na2 0.250 0.750 0.500
Ga1 0.646 0.125 0.250
Ga2 0.104 0.625 0.250
Ga3 0.375 0.354 0.750
Ga4 0.875 0.896 0.750
Cl1 0.000 0.000 0.000
Cl2 0.750 0.250 0.500

(5)
Here is a relaxed K2FeOs crystal from Alexandria via LeMat-Bulk. Energies are from PBE.

Properties
Its total DFT energy (no corrections) is -0.30360 Ry/atom. The energy above the most stable polymorph in this dataset is 567.2 meV per atom.

a b c (Å): 5.740 2.698 5.201
angles (deg): 84.48 90.00 90.00
Positions (direct):
Fe1 0.500 0.750 0.750
K1 0.000 0.973 0.999
K2 0.000 0.527 0.501
Os1 0.500 0.250 0.250

(6)
Here is a relaxed Al2AgSb crystal from Alexandria via LeMat-Bulk. Energies are from PBE.

Properties
Its total DFT energy (no corrections) is -0.24923 Ry/atom. Its uncorrected formation energy is 224 meV/atom.

a b c (Å): 4.858 4.858 3.481
angles (deg): 90.00 90.00 90.00
Positions (direct):
Sb1 0.500 0.000 0.500
Al1 0.000 0.000 0.000
Al2 0.500 0.500 0.000
Ag1 0.000 0.500 0.500

(7)
Here is a relaxed AcSmHoS3 crystal from Alexandria via LeMat-Bulk. Energies are from PBE.

Properties
Its total DFT energy (no corrections) is -0.44921 Ry/atom. Its uncorrected formation energy is -1814 meV/atom.

a b c (Å): 4.045 7.830 10.250
angles (deg): 102.91 90.00 90.00
Positions (direct):
Ac1 0.250 0.182 0.205
Ac2 0.750 0.818 0.795
Sm1 0.250 0.185 0.623
Sm2 0.750 0.815 0.377
Ho1 0.250 0.662 0.094
Ho2 0.750 0.338 0.906
S1 0.750 0.896 0.110
S2 0.250 0.104 0.890
S3 0.250 0.811 0.567
S4 0.750 0.189 0.433
S5 0.750 0.473 0.179
S6 0.250 0.527 0.821

(8)
Here is a relaxed CrNi14As crystal from Alexandria via LeMat-Bulk. Energies are from PBE.

Properties
Its total DFT energy (no corrections) is -0.43858 Ry/atom.

a b c (Å): 5.029 5.029 7.003
angles (deg): 90.00 90.00 90.00
Positions (direct):
Cr1 0.375 0.375 0.500
Ni1 0.875 0.875 0.000
Ni2 0.375 0.375 0.000
Ni3 0.875 0.375 0.500
Ni4 0.875 0.375 0.000
Ni5 0.375 0.875 0.500
Ni6 0.375 0.875 0.000
Ni7 0.623 0.127 0.249
Ni8 0.623 0.127 0.751
Ni9 0.127 0.623 0.249
Ni10 0.127 0.623 0.751
Ni11 0.623 0.623 0.249
Ni12 0.623 0.623 0.751
Ni13 0.127 0.127 0.249
Ni14 0.127 0.127 0.751
As1 0.875 0.875 0.500

(9)
Here is a relaxed Ir2OsBr crystal from Alexandria via LeMat-Bulk. Energies are from PBE.

Properties
Its total DFT energy (no corrections) is -0.48155 Ry/atom. Its uncorrected formation energy is 1104 meV/atom. The energy above the most stable polymorph in this dataset is 497.7 meV per atom.

a b c (Å): 4.860 4.860 2.806
angles (deg): 90.00 90.00 110.21
Positions (direct):
Ir1 0.000 0.000 0.000
Ir2 0.500 0.500 0.000
Os1 0.500 0.000 0.500
Br1 0.000 0.500 0.500

(10)
Here is a relaxed Ta4AgSb crystal from Alexandria via LeMat-Bulk. Energies are from PBE.

Properties
Its total DFT energy (no corrections) is -0.62670 Ry/atom. Its uncorrected formation energy is 537 meV/atom.

a b c (Å): 5.539 5.539 5.539
angles (deg): 60.00 60.00 60.00
Positions (direct):
Ta1 0.873 0.376 0.376
Ta2 0.376 0.376 0.873
Ta3 0.376 0.873 0.376
Ta4 0.376 0.376 0.376
Ag1 0.750 0.750 0.750
Sb1 0.000 0.000 0.000

(11)
Here is a relaxed YTiRe2As crystal from Alexandria via LeMat-Bulk. Energies are from PBE.

Properties
Its total DFT energy (no corrections) is -0.55299 Ry/atom.

a b c (Å): 4.532 5.350 4.532
angles (deg): 90.00 90.00 90.00
Positions (direct):
Y1 0.000 0.500 0.000
Re1 0.000 0.000 0.500
Re2 0.500 0.000 0.000
As1 0.500 0.500 0.500
Ti1 0.000 0.000 0.000

(12)
Here is a relaxed BaPW4 crystal from Alexandria via LeMat-Bulk. Energies are from PBE.

Properties
Its total DFT energy (no corrections) is -0.63376 Ry/atom.

a b c (Å): 5.534 5.534 5.534
angles (deg): 60.00 60.00 60.00
Positions (direct):
Ba1 0.750 0.750 0.750
P1 0.000 0.000 0.000
W1 0.876 0.375 0.375
W2 0.375 0.375 0.876
W3 0.375 0.876 0.375
W4 0.375 0.375 0.375

(13)
Here is a relaxed SrPdN2 crystal from Alexandria via LeMat-Bulk. Energies are from PBE.

Properties
Its total DFT energy (no corrections) is -0.39302 Ry/atom. Its uncorrected formation energy is 534 meV/atom. The energy above the most stable polymorph in this dataset is 148.2 meV per atom.

a b c (Å): 6.144 6.144 6.144
angles (deg): 39.67 39.67 39.67
Positions (direct):
Sr1 0.500 0.500 0.500
Pd1 0.000 0.000 0.000
N1 0.894 0.894 0.894
N2 0.106 0.106 0.106

(14)
Here is a relaxed HgPd7 crystal from Alexandria via LeMat-Bulk. Energies are from PBE.

Properties
Its total DFT energy (no corrections) is -0.34064 Ry/atom. The energy above the most stable polymorph in this dataset is 0.0 meV per atom.

a b c (Å): 3.990 3.990 8.529
angles (deg): 103.53 103.53 90.00
Positions (direct):
Hg1 0.000 0.000 0.000
Pd1 0.872 0.372 0.743
Pd2 0.750 0.750 0.499
Pd3 0.628 0.128 0.257
Pd4 0.500 0.500 0.000
Pd5 0.372 0.872 0.743
Pd6 0.250 0.250 0.501
Pd7 0.128 0.628 0.257

(15)
Here is a relaxed ScCo6B6 crystal from Alexandria via LeMat-Bulk. Energies are from PBE.

Properties
Its total DFT energy (no corrections) is -0.51482 Ry/atom.

a b c (Å): 4.230 5.516 5.516
angles (deg): 81.04 67.45 67.45
Positions (direct):
Sc1 0.000 0.000 0.000
Co1 0.344 0.656 0.656
Co2 0.656 0.344 0.344
Co3 0.000 0.338 0.662
Co4 0.000 0.662 0.338
Co5 0.310 0.190 0.190
Co6 0.690 0.810 0.810
B1 0.000 0.500 0.000
B2 0.500 0.500 0.000
B3 0.000 0.000 0.500
B4 0.500 0.000 0.500
B5 0.500 0.765 0.235
B6 0.500 0.235 0.765

(16)
Here is a relaxed La12Zn5In crystal from Alexandria via LeMat-Bulk. Energies are from PBE.

Properties
Its total DFT energy (no corrections) is -0.29317 Ry/atom.

a b c (Å): 9.016 9.016 9.016
angles (deg): 102.06 113.71 112.89
Positions (direct):
La1 0.533 0.811 0.721
La2 0.467 0.189 0.279
La3 0.910 0.189 0.721
La4 0.090 0.811 0.279
La5 0.717 0.681 0.398
La6 0.283 0.319 0.602
La7 0.283 0.681 0.964
La8 0.717 0.319 0.036
La9 0.805 0.575 0.770
La10 0.195 0.425 0.230
La11 0.195 0.965 0.770
La12 0.805 0.035 0.230
Zn1 0.635 0.635 0.000
Zn2 0.365 0.365 0.000
Zn3 0.500 0.121 0.621
Zn4 0.500 0.879 0.379
Zn5 0.000 0.000 0.000
In1 0.000 0.500 0.500

(17)
Here is a relaxed Pu2Hg3Pb crystal from Alexandria via LeMat-Bulk. Energies are from PBE.

Properties
Its total DFT energy (no corrections) is -0.40361 Ry/atom. The energy above the most stable polymorph in this dataset is 176.0 meV per atom.

a b c (Å): 3.099 5.947 9.744
angles (deg): 107.77 99.15 90.00
Positions (direct):
Pu1 0.659 0.659 0.317
Pu2 0.341 0.341 0.683
Hg1 0.000 0.500 0.000
Hg2 0.829 0.829 0.659
Hg3 0.171 0.171 0.341
Pb1 0.000 0.000 0.000

(18)
Here is a relaxed NaSn2Mo2 crystal from Alexandria via LeMat-Bulk. Energies are from PBE.

Properties
Its total DFT energy (no corrections) is -0.43854 Ry/atom. The energy above the most stable polymorph in this dataset is 0.0 meV per atom.

a b c (Å): 8.320 8.320 3.046
angles (deg): 90.00 90.00 90.00
Positions (direct):
Na1 0.000 0.000 0.000
Na2 0.500 0.500 0.000
Mo1 0.399 0.899 0.000
Mo2 0.899 0.601 0.000
Mo3 0.601 0.101 0.000
Mo4 0.101 0.399 0.000
Sn1 0.185 0.685 0.500
Sn2 0.685 0.815 0.500
Sn3 0.815 0.315 0.500
Sn4 0.315 0.185 0.500

(19)
Here is a relaxed CsRb2TeI crystal from Alexandria via LeMat-Bulk. Energies are from PBE.

Properties
Its total DFT energy (no corrections) is -0.18686 Ry/atom. Its uncorrected formation energy is -1046 meV/atom.

a b c (Å): 6.907 6.907 7.312
angles (deg): 90.00 90.00 90.00
Positions (direct):
Cs1 0.000 0.000 0.500
I1 0.500 0.500 0.500
Te1 0.000 0.000 0.000
Rb1 0.000 0.500 0.000
Rb2 0.500 0.000 0.000

(20)
Here is a relaxed ZnAuI2N crystal from Alexandria via LeMat-Bulk. Energies are from PBE.

Properties
Its total DFT energy (no corrections) is -0.17058 Ry/atom. Its uncorrected formation energy is 874 meV/atom. The energy above the most stable polymorph in this dataset is 81.0 meV per atom.

a b c (Å): 6.009 6.009 3.820
angles (deg): 90.00 90.00 90.00
Positions (direct):
I1 0.000 0.500 0.000
I2 0.500 0.000 0.000
Zn1 0.500 0.500 0.500
Au1 0.000 0.000 0.000
N1 0.000 0.000 0.500